Below is a relaxed structure of CrPt2Au, with properties calculated at the PBE level.

Computed properties:
- M_tot: 0.04 μB/f.u.
- Formation enthalpy at 0 K: 0.04 eV/atom

a b c (Å): 2.7802 2.7802 27.4022
angles (deg): 90.00 90.00 120.00
Space group R3m (No. 160, hexagonal axes)
Asymmetric unit:
Cr: 0.0000 0.0000 0.0000 x3
Pt: 0.0000 0.0000 0.4944 x3
Pt: 0.0000 0.0000 0.7399 x3
Au: 0.0000 0.0000 0.2509 x3

Below is a relaxed structure of CrPt2Au, with properties calculated at the PBE level.

Computed properties:
- M_tot: 3.54 μB/f.u.
- Formation enthalpy at 0 K: 0.00 eV/atom

a b c (Å): 2.9250 4.5771 4.7753
angles (deg): 90.00 90.00 90.00
Space group Pmm2 (No. 25)
Asymmetric unit:
Cr: 0.0000 0.0000 0.0000 x1
Pt: 0.5000 0.0000 0.5155 x1
Pt: 0.5000 0.5000 0.8671 x1
Au: 0.0000 0.5000 0.3625 x1

Below is a relaxed structure of Cr4PtAu, with properties calculated at the PBE level.

Computed properties:
- M_tot: 0.00 μB/f.u.
- Formation enthalpy at 0 K: 0.13 eV/atom

a b c (Å): 6.8226 6.8226 6.8226
angles (deg): 90.00 90.00 90.00
Space group F-43m (No. 216)
Asymmetric unit:
Cr: 0.1225 0.1225 0.1225 x16
Pt: 0.0000 0.0000 0.5000 x4
Au: 0.2500 0.2500 0.7500 x4

Below is a relaxed structure of CrPt2Au, with properties calculated at the PBE level.

Computed properties:
- M_tot: 2.83 μB/f.u.
- Formation enthalpy at 0 K: -0.11 eV/atom

a b c (Å): 3.9959 3.9959 7.8559
angles (deg): 90.00 90.00 90.00
Space group I4/mmm (No. 139)
Asymmetric unit:
Cr: 0.0000 0.0000 0.0000 x2
Pt: 0.0000 0.5000 0.2500 x4
Au: 0.0000 0.0000 0.5000 x2

Below is a relaxed structure of CrPt2Au, with properties calculated at the PBE level.

Computed properties:
- M_tot: 1.37 μB/f.u.
- Formation enthalpy at 0 K: 0.01 eV/atom

a b c (Å): 2.7784 2.7784 7.9355
angles (deg): 90.00 90.00 90.00
Space group P4mm (No. 99)
Asymmetric unit:
Cr: 0.0000 0.0000 0.0000 x1
Pt: 0.0000 0.0000 0.4807 x1
Pt: 0.5000 0.5000 0.2173 x1
Au: 0.5000 0.5000 0.7542 x1

Below is a relaxed structure of Cr2PtAu, with properties calculated at the PBE level.

Computed properties:
- M_tot: 1.08 μB/f.u.
- Formation enthalpy at 0 K: 0.30 eV/atom

a b c (Å): 2.7350 2.7350 26.7181
angles (deg): 90.00 90.00 120.00
Space group R-3m (No. 166, hexagonal axes)
Asymmetric unit:
Cr: 0.0000 0.0000 0.2475 x6
Pt: 0.0000 0.0000 0.5000 x3
Au: 0.0000 0.0000 0.0000 x3

Below is a relaxed structure of CrPt2Au, with properties calculated at the PBE level.

Computed properties:
- M_tot: 3.24 μB/f.u.
- Formation enthalpy at 0 K: -0.02 eV/atom

a b c (Å): 9.3304 2.8876 4.8229
angles (deg): 90.00 102.18 90.00
Space group Cm (No. 8)
Asymmetric unit:
Cr: 0.0000 0.0000 0.0000 x2
Pt: 0.0091 0.5000 0.5171 x2
Pt: 0.2636 0.0000 0.7710 x2
Au: 0.2506 0.5000 0.2603 x2

Below is a relaxed structure of CrPt2Au, with properties calculated at the PBE level.

Computed properties:
- M_tot: 1.61 μB/f.u.
- Formation enthalpy at 0 K: -0.04 eV/atom

a b c (Å): 2.7967 2.7967 27.4916
angles (deg): 90.00 90.00 120.00
Space group R3m (No. 160, hexagonal axes)
Asymmetric unit:
Cr: 0.0000 0.0000 0.0000 x3
Pt: 0.0000 0.0000 0.4081 x3
Pt: 0.0000 0.0000 0.5920 x3
Au: 0.0000 0.0000 0.1670 x3

Below is a relaxed structure of CrPtAu2, with properties calculated at the PBE level.

Computed properties:
- M_tot: 2.97 μB/f.u.
- Formation enthalpy at 0 K: -0.01 eV/atom

a b c (Å): 2.8949 2.8949 7.8579
angles (deg): 90.00 90.00 90.00
Space group P4mm (No. 99)
Asymmetric unit:
Cr: 0.0000 0.0000 0.0000 x1
Pt: 0.5000 0.5000 0.2082 x1
Au: 0.0000 0.0000 0.4783 x1
Au: 0.5000 0.5000 0.7565 x1

Below is a relaxed structure of CrPt2Au, with properties calculated at the PBE level.

Computed properties:
- M_tot: 2.82 μB/f.u.
- Formation enthalpy at 0 K: -0.02 eV/atom

a b c (Å): 3.3650 3.3650 5.6326
angles (deg): 90.00 90.00 90.00
Space group P4mm (No. 99)
Asymmetric unit:
Cr: 0.0000 0.0000 0.0000 x1
Pt: 0.0000 0.0000 0.4746 x1
Pt: 0.5000 0.5000 0.2179 x1
Au: 0.5000 0.5000 0.7371 x1

Below is a relaxed structure of Cr2PtAu, with properties calculated at the PBE level.

Computed properties:
- M_tot: 0.06 μB/f.u.
- Formation enthalpy at 0 K: 0.16 eV/atom

a b c (Å): 2.9853 4.5901 8.6837
angles (deg): 90.00 90.00 90.00
Space group Cmm2 (No. 35)
Asymmetric unit:
Cr: 0.0000 0.0000 0.0000 x2
Cr: 0.0000 0.5000 0.1902 x2
Pt: 0.0000 0.5000 0.7516 x2
Au: 0.0000 0.0000 0.4594 x2

Below is a relaxed structure of Cr2PtAu, with properties calculated at the PBE level.

Computed properties:
- M_tot: 2.86 μB/f.u.
- Formation enthalpy at 0 K: 0.18 eV/atom

a b c (Å): 5.4209 7.8050 2.7270
angles (deg): 90.00 90.00 90.00
Space group Cmmm (No. 65)
Asymmetric unit:
Cr: 0.2500 0.2500 0.0000 x4
Pt: 0.0000 0.0000 0.5000 x2
Au: 0.0000 0.5000 0.5000 x2

Below is a relaxed structure of Cr2PtAu, with properties calculated at the PBE level.

Computed properties:
- M_tot: 0.50 μB/f.u.
- Formation enthalpy at 0 K: 0.08 eV/atom

a b c (Å): 3.0265 3.0265 6.5179
angles (deg): 90.00 90.00 90.00
Space group P4mm (No. 99)
Asymmetric unit:
Cr: 0.0000 0.0000 0.0000 x1
Cr: 0.5000 0.5000 0.1841 x1
Pt: 0.0000 0.0000 0.4318 x1
Au: 0.5000 0.5000 0.7326 x1

Below is a relaxed structure of SrCr2PtAu, with properties calculated at the PBE level.

Computed properties:
- M_tot: 8.95 μB/f.u.
- Formation enthalpy at 0 K: 0.58 eV/atom

a b c (Å): 4.9888 4.9888 5.2380
angles (deg): 90.00 90.00 90.00
Space group P4/mmm (No. 123)
Asymmetric unit:
Sr: 0.0000 0.0000 0.0000 x1
Cr: 0.0000 0.5000 0.5000 x2
Pt: 0.5000 0.5000 0.0000 x1
Au: 0.5000 0.5000 0.5000 x1

Below is a relaxed structure of Ti2CrPtAu, with properties calculated at the PBE level.

Computed properties:
- M_tot: 0.05 μB/f.u.
- Formation enthalpy at 0 K: 1.18 eV/atom

a b c (Å): 4.7851 4.7851 4.5673
angles (deg): 90.00 90.00 90.00
Space group P4/mmm (No. 123)
Asymmetric unit:
Ti: 0.0000 0.5000 0.0000 x2
Cr: 0.0000 0.0000 0.5000 x1
Pt: 0.5000 0.5000 0.5000 x1
Au: 0.0000 0.0000 0.0000 x1

Below is a relaxed structure of VCrPt2Au, with properties calculated at the PBE level.

Computed properties:
- M_tot: 1.04 μB/f.u.
- Formation enthalpy at 0 K: 1.39 eV/atom

a b c (Å): 4.9831 4.9831 4.7169
angles (deg): 90.00 90.00 90.00
Space group P4/mmm (No. 123)
Asymmetric unit:
V: 0.0000 0.0000 0.0000 x1
Cr: 0.5000 0.5000 0.0000 x1
Pt: 0.0000 0.5000 0.5000 x2
Au: 0.5000 0.5000 0.5000 x1

Below is a relaxed structure of ZnCrPtAu, with properties calculated at the PBE level.

Computed properties:
- M_tot: 3.80 μB/f.u.
- Formation enthalpy at 0 K: -0.15 eV/atom

a b c (Å): 6.3036 6.3036 6.3036
angles (deg): 90.00 90.00 90.00
Space group F-43m (No. 216)
Asymmetric unit:
Zn: 0.0000 0.0000 0.0000 x4
Cr: 0.0000 0.0000 0.5000 x4
Pt: 0.2500 0.2500 0.2500 x4
Au: 0.2500 0.2500 0.7500 x4

Below is a relaxed structure of RbCrAu3, with properties calculated at the PBE level.

Computed properties:
- Energy above the lowest structure with this stoichiometry: 0 meV per atom
- M_tot: 3.99 μB/f.u.
- Formation enthalpy at 0 K: 0.24 eV/atom

a b c (Å): 5.1946 5.1946 5.1946
angles (deg): 90.00 90.00 90.00
Space group Pm-3m (No. 221)
Asymmetric unit:
Rb: 0.0000 0.0000 0.0000 x1
Cr: 0.5000 0.5000 0.5000 x1
Au: 0.0000 0.5000 0.5000 x3

Below is a relaxed structure of Rb3CrAu, with properties calculated at the PBE level.

Computed properties:
- Energy above the lowest structure with this stoichiometry: 0 meV per atom
- M_tot: 5.96 μB/f.u.
- Formation enthalpy at 0 K: 0.48 eV/atom

a b c (Å): 6.6308 6.6308 6.6308
angles (deg): 90.00 90.00 90.00
Space group Pm-3m (No. 221)
Asymmetric unit:
Rb: 0.0000 0.0000 0.5000 x3
Cr: 0.5000 0.5000 0.5000 x1
Au: 0.0000 0.0000 0.0000 x1

Below is a relaxed structure of RbCrAu, with properties calculated at the PBE level.

Computed properties:
- Energy above the lowest structure with this stoichiometry: 0 meV per atom
- M_tot: 4.58 μB/f.u.
- Formation enthalpy at 0 K: 0.35 eV/atom

a b c (Å): 4.4207 12.6126 6.2945
angles (deg): 90.00 90.00 90.00
Space group Cmcm (No. 63)
Asymmetric unit:
Rb: 0.0000 0.2333 0.2500 x4
Cr: 0.0000 0.0270 0.7500 x4
Au: 0.0000 0.5000 0.0000 x4

Below is a relaxed structure of RbCrAu3, with properties calculated at the PBE level.

Computed properties:
- Energy above the lowest structure with this stoichiometry: 1282 meV per atom
- M_tot: 4.00 μB/f.u.
- Formation enthalpy at 0 K: 1.52 eV/atom

a b c (Å): 5.8504 5.8504 5.8504
angles (deg): 90.00 90.00 90.00
Space group Pm-3m (No. 221)
Asymmetric unit:
Rb: 0.0000 0.0000 0.0000 x1
Cr: 0.5000 0.5000 0.5000 x1
Au: 0.0000 0.0000 0.5000 x3

Below is a relaxed structure of RbCr3Au, with properties calculated at the PBE level.

Computed properties:
- Energy above the lowest structure with this stoichiometry: 0 meV per atom
- M_tot: 13.99 μB/f.u.
- Formation enthalpy at 0 K: 1.12 eV/atom

a b c (Å): 5.2794 5.2794 5.2794
angles (deg): 90.00 90.00 90.00
Space group Pm-3m (No. 221)
Asymmetric unit:
Rb: 0.0000 0.0000 0.0000 x1
Cr: 0.0000 0.5000 0.5000 x3
Au: 0.5000 0.5000 0.5000 x1

Below is a relaxed structure of RbCrAu, with properties calculated at the PBE level.

Computed properties:
- Energy above the lowest structure with this stoichiometry: 163 meV per atom
- M_tot: 0.00 μB/f.u.
- Formation enthalpy at 0 K: 0.51 eV/atom

a b c (Å): 9.4347 3.0246 11.5501
angles (deg): 90.00 90.00 90.00
Space group Pnma (No. 62)
Asymmetric unit:
Rb: 0.0831 0.2500 0.1770 x4
Cr: 0.0658 0.2500 0.5304 x4
Au: 0.2503 0.2500 0.9135 x4

Below is a relaxed structure of RbCr3Au, with properties calculated at the PBE level.

Computed properties:
- Energy above the lowest structure with this stoichiometry: 1772 meV per atom
- M_tot: 0.00 μB/f.u.
- Formation enthalpy at 0 K: 2.89 eV/atom

a b c (Å): 4.3900 4.3900 4.3900
angles (deg): 90.00 90.00 90.00
Space group Pm-3m (No. 221)
Asymmetric unit:
Rb: 0.0000 0.0000 0.0000 x1
Cr: 0.0000 0.0000 0.5000 x3
Au: 0.5000 0.5000 0.5000 x1

Below is a relaxed structure of RbCrAu2, with properties calculated at the PBE level.

Computed properties:
- M_tot: 4.90 μB/f.u.
- Formation enthalpy at 0 K: 0.24 eV/atom

a b c (Å): 5.4570 5.4570 18.3357
angles (deg): 90.00 90.00 90.00
Space group I4_1/amd (No. 141, origin choice 2)
Asymmetric unit:
Rb: 0.0000 0.2500 0.3750 x4
Cr: 0.0000 0.2500 0.8750 x4
Au: 0.0000 0.0000 0.0000 x8

Below is a relaxed structure of Rb2CrAuS4, with properties calculated at the PBE level.

Computed properties:
- M_tot: 1.00 μB/f.u.
- Formation energy (no corrections): -0.733 eV per atom

a b c (Å): 5.8107 13.5824 23.5092
angles (deg): 90.00 90.00 90.00
Space group Fddd (No. 70, origin choice 2)
Asymmetric unit:
Rb: 0.1250 0.1250 0.3052 x16
Cr: 0.1250 0.1250 0.1250 x8
Au: 0.1250 0.1250 0.6250 x8
S: 0.0801 0.2799 0.4290 x32

Below is a relaxed structure of Rb2CrAuSe4, with properties calculated at the PBE level.

Computed properties:
- M_tot: 0.99 μB/f.u.
- Formation energy (no corrections): -0.670 eV per atom

a b c (Å): 6.0227 13.9461 24.2930
angles (deg): 90.00 90.00 90.00
Space group Fddd (No. 70, origin choice 2)
Asymmetric unit:
Rb: 0.1250 0.1250 0.3070 x16
Cr: 0.1250 0.1250 0.1250 x8
Au: 0.1250 0.1250 0.6250 x8
Se: 0.0856 0.2769 0.4311 x32